No. 1
A crystal of Ca3VN3 relaxed with PBEsol, computed with SCAN.

Geometry as POSCAR:
```
Ca3VN3
1.0
4.2168 -5.1337 0.0000
4.2168 5.1337 0.0000
0.0000 0.0000 5.0240
Ca V N
6 2 6
Cartesian
4.2168 4.0167 3.7680
2.4216 1.1846 3.7680
2.4216 -1.1846 1.2560
6.0119 1.1846 3.7680
6.0119 -1.1846 1.2560
4.2168 -4.0167 1.2560
4.2168 2.0234 1.2560
4.2168 -2.0234 3.7680
4.2168 3.8261 1.2560
2.5813 1.2733 1.2560
2.5813 -1.2733 3.7680
5.8522 1.2733 1.2560
5.8522 -1.2733 3.7680
4.2168 -3.8261 3.7680
```

Properties
- E_tot (eV for the cell shown) = -166.7
- raw formation energy (eV per atom) = -1.288
- crystal system = orthorhombic

***

No. 2
A crystal of CrPd3Br relaxed with PBEsol, computed with SCAN.

Geometry as POSCAR:
```
CrPd3Br
1.0
4.6282 0.0000 0.0000
0.0000 4.6282 0.0000
0.0000 0.0000 4.6282
Cr Pd Br
1 3 1
Cartesian
0.0000 0.0000 0.0000
0.0000 2.3141 2.3141
2.3141 0.0000 2.3141
2.3141 2.3141 0.0000
2.3141 2.3141 2.3141
```

Properties
- E_tot (eV for the cell shown) = -133.0
- raw formation energy (eV per atom) = 0.635
- crystal system = cubic

***

No. 3
A crystal of Ag2SbRu relaxed with PBEsol, computed with SCAN.

Geometry as POSCAR:
```
Ag2SbRu
1.0
3.8847 0.0000 0.0000
0.0000 3.8847 0.0000
0.0000 0.0000 4.4454
Ag Sb Ru
2 1 1
Cartesian
0.0000 1.9423 0.0000
1.9423 0.0000 0.0000
0.0000 0.0000 2.2227
1.9423 1.9423 2.2227
```

Properties
- E_tot (eV for the cell shown) = -133.7
- raw formation energy (eV per atom) = 0.277
- crystal system = tetragonal

***

No. 4
A crystal of Sr2TcTeAu relaxed with PBEsol, computed with SCAN.

Geometry as POSCAR:
```
Sr2TcTeAu
1.0
5.7476 0.0000 0.0000
0.0000 5.7476 0.0000
0.0000 0.0000 4.8913
Sr Tc Te Au
2 1 1 1
Cartesian
0.0000 2.8738 0.0000
2.8738 0.0000 0.0000
0.0000 0.0000 0.0000
0.0000 0.0000 2.4457
2.8738 2.8738 2.4457
```

Properties
- E_tot (eV for the cell shown) = -186.4
- raw formation energy (eV per atom) = -0.072
- crystal system = tetragonal

***

No. 5
A crystal of LaCdFe3 relaxed with PBEsol, computed with SCAN.

Geometry as POSCAR:
```
LaCdFe3
1.0
4.5497 0.0000 0.0000
0.0000 4.5497 0.0000
0.0000 0.0000 4.5497
La Cd Fe
1 1 3
Cartesian
0.0000 0.0000 0.0000
2.2748 2.2748 2.2748
0.0000 0.0000 2.2748
0.0000 2.2748 0.0000
2.2748 0.0000 0.0000
```

Properties
- energy of formation from the pure elements (eV per atom) = 1.64
- E_tot (eV for the cell shown) = -119.7
- crystal system = cubic
- distance to the lowest polymorph of the same formula (meV/atom) = 806.3

***

No. 6
A crystal of SiTePS2 relaxed with PBEsol, computed with SCAN.

Geometry as POSCAR:
```
SiTePS2
1.0
4.4110 0.0000 0.0000
0.0000 4.4110 0.0000
0.0000 0.0000 4.7041
Si Te P S
1 1 1 2
Cartesian
0.0000 0.0000 0.0000
2.2055 2.2055 2.3521
0.0000 0.0000 2.3521
0.0000 2.2055 0.0000
2.2055 0.0000 0.0000
```

Properties
- E_tot (eV for the cell shown) = -74.9
- raw formation energy (eV per atom) = 0.403
- crystal system = tetragonal

***

No. 7
A crystal of CaTaTe relaxed with PBEsol, computed with SCAN.

Geometry as POSCAR:
```
CaTaTe
1.0
-1.7761 1.7761 5.6963
1.7761 -1.7761 5.6963
1.7761 1.7761 -5.6963
Ca Ta Te
1 1 1
Cartesian
0.0000 0.0000 0.0000
0.0000 0.0000 3.5364
0.0000 0.0000 8.0046
```

Properties
- E_tot (eV for the cell shown) = -113.6
- raw formation energy (eV per atom) = -0.051
- crystal system = tetragonal

***

No. 8
A crystal of KFe2Rh relaxed with PBEsol, computed with SCAN.

Geometry as POSCAR:
```
KFe2Rh
1.0
2.7886 -4.4646 0.0000
2.7886 4.4646 0.0000
-0.8107 0.0000 2.4645
K Fe Rh
1 2 1
Cartesian
0.0000 0.0000 0.0000
0.9889 2.2323 1.2323
0.9889 -2.2323 1.2323
2.7886 0.0000 0.0000
```

Properties
- energy of formation from the pure elements (eV per atom) = 0.90
- E_tot (eV for the cell shown) = -74.7
- crystal system = monoclinic
- distance to the lowest polymorph of the same formula (meV/atom) = 459.5

***

E_tot of number 1 (Ca3VN3)?
-166.7 eV for the cell shown

***

E_tot of number 3 (Ag2SbRu)?
-133.7 eV for the cell shown